1.
TePb3N | PBE | relaxed

Structure (POSCAR):
```
TePb3N
1.0
5.1588 0.0000 0.0000
0.0000 5.1588 0.0000
0.0000 0.0000 5.1588
Te Pb N
1 3 1
direct
0.0000 0.0000 0.0000
0.0000 0.5000 0.5000
0.5000 0.0000 0.5000
0.5000 0.5000 0.0000
0.5000 0.5000 0.5000
```

Values from the calculation:
As for the offset from the most stable computed form: 0.000 eV/f.u. Its energy is -20.9 eV/cell. Its space-group type is Pm-3m, No. 221. For the formation energy from raw total energies, the calculation gives 0.3423 eV per atom.

---

2.
Na2I3 | PBE | relaxed

Structure (POSCAR):
```
Na2I3
1.0
4.3567 2.5154 5.8267
-4.3567 2.5154 5.8267
0.0000 -5.0307 5.8267
Na I
4 6
direct
0.1342 0.1342 0.1342
0.3658 0.3658 0.3658
0.6342 0.6342 0.6342
0.8658 0.8658 0.8658
0.0422 0.7500 0.4578
0.2500 0.5422 0.9578
0.4578 0.0422 0.7500
0.5422 0.9578 0.2500
0.7500 0.4578 0.0422
0.9578 0.2500 0.5422
```

Values from the calculation:
Its energy is -22.8 eV/cell. Its space-group type is R-3c, No. 167. For the formation energy from raw total energies, the calculation gives -0.8197 eV per atom.

---

3.
PrNi5Sn2 | PBE | relaxed

Structure (POSCAR):
```
PrNi5Sn2
1.0
-1.9360 3.2690 5.3161
1.9360 -3.2690 5.3161
1.9360 3.2690 -5.3161
Pr Ni Sn
1 5 2
direct
0.0000 0.0000 0.0000
0.1999 0.3852 0.8147
0.4295 0.6148 0.8147
0.5000 0.0000 0.5000
0.5705 0.3852 0.1853
0.8001 0.6148 0.1853
0.2589 0.7589 0.5000
0.7411 0.2411 0.5000
```

Values from the calculation:
As for the energy of formation: -0.25 eV per atom. Its energy is -43.7 eV/cell. Its space-group type is Immm, No. 71.

---

4.
Ba6LiN | PBE | relaxed

Structure (POSCAR):
```
Ba6LiN
1.0
7.8162 0.0000 0.0000
3.9026 6.7761 0.0000
3.9068 -2.2477 7.4283
Ba Li N
6 1 1
direct
0.0760 0.3776 0.2210
0.3243 0.7969 0.2210
0.3434 0.9540 0.7785
0.6566 0.0460 0.2215
0.6757 0.2031 0.7790
0.9240 0.6224 0.7790
0.5000 0.5000 0.5000
0.5000 0.0000 0.0000
```

Values from the calculation:
Its energy is -22.2 eV/cell. Its space-group type is P-1, No. 2. For the formation energy from raw total energies, the calculation gives -0.0559 eV per atom.

---

5.
HfAlAu4 | PBE | relaxed

Structure (POSCAR):
```
HfAlAu4
1.0
6.4816 0.0000 0.0000
0.0000 7.4680 0.0000
-1.5267 0.0000 4.6746
Hf Al Au
2 2 8
direct
0.0000 0.0000 0.0000
0.0000 0.5000 0.5000
0.5000 0.0000 0.0000
0.5000 0.5000 0.5000
0.1683 0.1485 0.5858
0.1683 0.3515 0.0858
0.3530 0.6618 0.9146
0.3530 0.8382 0.4146
0.6470 0.1618 0.5854
0.6470 0.3382 0.0854
0.8317 0.6485 0.9142
0.8317 0.8515 0.4142
```

Values from the calculation:
As for the energy of formation: -0.33 eV per atom. Its energy is -57.6 eV/cell. Its space-group type is P2_1/c, No. 14.

---

6.
HfCo2HRh | PBE | relaxed

Structure (POSCAR):
```
HfCo2HRh
1.0
3.7360 0.0000 0.0000
0.0000 3.7360 0.0000
0.0000 0.0000 4.0462
Hf Co H Rh
1 2 1 1
direct
0.0000 0.0000 0.0000
0.0000 0.5000 0.5000
0.5000 0.0000 0.5000
0.0000 0.0000 0.5000
0.5000 0.5000 0.0000
```

Values from the calculation:
As for the offset from the most stable computed form: 0.248 eV/f.u. Its energy is -36.6 eV/cell. Its space-group type is P4/mmm, No. 123.

---

7.
Cu2NiTe4 | PBE | relaxed

Structure (POSCAR):
```
Cu2NiTe4
1.0
-2.6088 2.6088 6.2187
2.6088 -2.6088 6.2187
2.6088 2.6088 -6.2187
Cu Ni Te
2 1 4
direct
0.0935 0.0935 0.0000
0.9065 0.9065 0.0000
0.5000 0.5000 0.0000
0.0000 0.5000 0.5000
0.2935 0.2935 0.0000
0.5000 0.0000 0.5000
0.7065 0.7065 0.0000
```

Values from the calculation:
As for the offset from the most stable computed form: 2.315 eV/f.u. Its energy is -24.7 eV/cell. Its space-group type is I4/mmm, No. 139. For the formation energy from raw total energies, the calculation gives 0.2622 eV per atom.

---

8.
LiNpCoRu | PBE | relaxed

Structure (POSCAR):
```
LiNpCoRu
1.0
0.0000 3.0993 3.0993
3.0993 0.0000 3.0993
3.0993 3.0993 0.0000
Li Np Co Ru
1 1 1 1
direct
0.0000 0.0000 0.0000
0.5000 0.5000 0.5000
0.7500 0.7500 0.7500
0.2500 0.2500 0.2500
```

Values from the calculation:
As for the energy of formation: 0.06 eV per atom. Its energy is -31.0 eV/cell. Its space-group type is F-43m, No. 216.

---

9.
Tl3Cd3Sn2 | PBE | relaxed

Structure (POSCAR):
```
Tl3Cd3Sn2
1.0
8.6498 0.0000 0.0000
0.0000 17.3924 0.0000
0.0000 0.0000 6.2216
Tl Cd Sn
12 12 8
direct
0.0360 0.1164 0.1174
0.0360 0.3836 0.1174
0.1960 0.2500 0.6275
0.3040 0.7500 0.1275
0.4640 0.6164 0.6174
0.4640 0.8836 0.6174
0.5360 0.1164 0.3826
0.5360 0.3836 0.3826
0.6960 0.2500 0.8725
0.8040 0.7500 0.3725
0.9640 0.6164 0.8826
0.9640 0.8836 0.8826
0.1961 0.7500 0.6507
0.2034 0.0246 0.5988
0.2034 0.4754 0.5988
0.2966 0.5246 0.0988
0.2966 0.9754 0.0988
0.3039 0.2500 0.1507
0.6961 0.7500 0.8493
0.7034 0.0246 0.9012
0.7034 0.4754 0.9012
0.7966 0.5246 0.4012
0.7966 0.9754 0.4012
0.8039 0.2500 0.3493
0.0900 0.6158 0.3767
0.0900 0.8842 0.3767
0.4100 0.1158 0.8767
0.4100 0.3842 0.8767
0.5900 0.6158 0.1233
0.5900 0.8842 0.1233
0.9100 0.1158 0.6233
0.9100 0.3842 0.6233
```

Values from the calculation:
As for the energy of formation: 0.06 eV per atom. Its energy is -69.6 eV/cell. Its space-group type is Pnma, No. 62.

---

10.
TbNdCu2 | PBE | relaxed

Structure (POSCAR):
```
TbNdCu2
1.0
0.0000 3.5408 3.5408
3.5408 0.0000 3.5408
3.5408 3.5408 0.0000
Tb Nd Cu
1 1 2
direct
0.0000 0.0000 0.0000
0.5000 0.5000 0.5000
0.2500 0.2500 0.2500
0.7500 0.7500 0.7500
```

Values from the calculation:
As for the energy of formation: -0.18 eV per atom. As for the offset from the most stable computed form: 0.112 eV/f.u. Its energy is -18.3 eV/cell. Its space-group type is Fm-3m, No. 225.

---

11.
PmPr4Nd2Tl2 | PBE | relaxed

Structure (POSCAR):
```
PmPr4Nd2Tl2
1.0
6.5874 0.0000 0.0000
3.2037 6.0516 0.0000
1.6168 2.9658 7.7326
Pm Pr Nd Tl
1 4 2 2
direct
0.0000 0.0000 0.0000
0.3075 0.4783 0.3743
0.4099 0.0277 0.2196
0.5901 0.9723 0.7804
0.6925 0.5217 0.6257
0.1719 0.5237 0.8164
0.8281 0.4763 0.1836
0.1445 0.0498 0.5935
0.8555 0.9502 0.4065
```

Values from the calculation:
As for the energy of formation: -0.09 eV per atom. Its energy is -38.9 eV/cell. Its space-group type is P-1, No. 2.

---

12.
ZrCuIrRh | PBE | relaxed

Structure (POSCAR):
```
ZrCuIrRh
1.0
0.0000 3.1528 3.1528
3.1528 0.0000 3.1528
3.1528 3.1528 0.0000
Zr Cu Ir Rh
1 1 1 1
direct
0.0000 0.0000 0.0000
0.5000 0.5000 0.5000
0.7500 0.7500 0.7500
0.2500 0.2500 0.2500
```

Values from the calculation:
As for the energy of formation: -0.46 eV per atom. As for the offset from the most stable computed form: 0.402 eV/f.u. Its energy is -30.7 eV/cell. Its space-group type is F-43m, No. 216.